This record from Alexandria describes an optimized crystal structure of Ta2MnCo. The functional is PBE.

## Properties
- E_form (eV per formula unit) = 1.01
- ΔE to the lowest computed polymorph (eV per atom) = 0.421

The structure in CIF format:
```
data_Ta2MnCo
_chemical_formula_sum 'Ta6 Mn3 Co3'
_symmetry_space_group_name_H-M 'R 3 m'
_symmetry_Int_Tables_number 160
_symmetry_space_group_name_Hall 'R 3 -2"'
_cell_length_a 2.8496
_cell_length_b 2.8496
_cell_length_c 26.4142
_cell_angle_alpha 90.00
_cell_angle_beta 90.00
_cell_angle_gamma 120.00
loop_
_atom_site_label
_atom_site_type_symbol
_atom_site_fract_x
_atom_site_fract_y
_atom_site_fract_z
Ta1 Ta 0.0000 0.0000 0.0000
Ta2 Ta 0.0000 0.0000 0.2356
Mn1 Mn 0.0000 0.0000 0.4845
Co1 Co 0.0000 0.0000 0.7457
```